1.
Material: KTeO4
Method: DFT, PBEsol
State: optimized geometry

abc: 5.1544 6.4825 6.8271
angles: 117.36 111.01 92.30
Last column: nearest neighbours and their distance in Å.
Sites, in units of the cell vectors:
1 O 0.4920 0.2161 0.1084  2 Te 1.97-2.02
2 Te 0.8288 0.0788 0.1577  6 O 1.90-2.02
3 O 0.9046 0.6186 0.6147  1 Te 1.90
4 O 0.2102 0.9961 0.6147  1 Te 1.90
5 O 0.1164 0.8923 0.1084  2 Te 1.97-2.02
6 O 0.7899 0.0039 0.3853  1 Te 1.90
7 O 0.5080 0.7839 0.8916  2 Te 1.97-2.02
8 O 0.8836 0.1077 0.8916  2 Te 1.97-2.02
9 O 0.0954 0.3814 0.3853  1 Te 1.90
10 Te 0.1712 0.9212 0.8423  6 O 1.90-2.02
11 K 0.5903 0.3403 0.6805  6 O 2.67-2.74
12 K 0.4097 0.6597 0.3195  6 O 2.67-2.74

## Properties
Formation energy (no corrections) = -583 kJ/mol of formula units
Electronic total energy = -63.4 eV for the cell shown

=====

2.
Material: K2TeO4
Method: DFT, PBEsol
State: optimized geometry

abc: 6.2340 8.0598 10.9897
angles: 90.00 94.37 90.00
Last column: nearest neighbours and their distance in Å.
Sites, in units of the cell vectors:
1 O 0.9262 0.3917 0.6093  1 Te 1.84
2 O 0.4262 0.1083 0.1093  1 Te 1.84
3 K 0.7398 0.4934 0.2442  6 O 2.70-2.81
4 Te 0.2736 0.7724 0.4259  4 O 1.83-1.84
5 O 0.3473 0.7606 0.5913  1 Te 1.84
6 O 0.1519 0.9714 0.3793  1 Te 1.83
7 O 0.6519 0.5286 0.8793  1 Te 1.83
8 O 0.0738 0.6083 0.3907  1 Te 1.84
9 O 0.4790 0.2591 0.6527  1 Te 1.84
10 Te 0.7264 0.2276 0.5741  4 O 1.83-1.84
11 O 0.0210 0.7591 0.8473  1 Te 1.84
12 O 0.5210 0.7409 0.3473  1 Te 1.84
13 K 0.7090 0.2103 0.9158  3 O 2.62-2.80
14 K 0.2910 0.7897 0.0842  3 O 2.62-2.80
15 O 0.1527 0.2606 0.9087  1 Te 1.84
16 Te 0.7736 0.7276 0.9259  4 O 1.83-1.84
17 O 0.8473 0.7394 0.0913  1 Te 1.84
18 O 0.5738 0.8917 0.8907  1 Te 1.84
19 K 0.2602 0.5066 0.7558  6 O 2.70-2.81
20 K 0.2090 0.2897 0.4158  3 O 2.62-2.80
21 K 0.2398 0.0066 0.7442  6 O 2.70-2.81
22 K 0.7602 0.9934 0.2558  6 O 2.70-2.81
23 K 0.7910 0.7103 0.5842  3 O 2.62-2.80
24 O 0.8481 0.0286 0.6207  1 Te 1.83
25 Te 0.2264 0.2724 0.0741  4 O 1.83-1.84
26 O 0.3481 0.4714 0.1207  1 Te 1.83
27 O 0.6527 0.2394 0.4087  1 Te 1.84
28 O 0.9790 0.2409 0.1527  1 Te 1.84

## Properties
Formation energy (no corrections) = -931 kJ/mol of formula units
Electronic total energy = -145.8 eV for the cell shown

=====

3.
Material: KTeO3
Method: DFT, PBEsol
State: optimized geometry

abc: 4.0777 4.0777 4.0777
angles: 90.00 90.00 90.00
Last column: nearest neighbours and their distance in Å.
Sites, in units of the cell vectors:
1 Te 0.0000 0.0000 0.0000  6 O 2.04
2 K 0.5000 0.5000 0.5000  12 O 2.88
3 O 0.0000 0.0000 0.5000  2 Te 2.04
4 O 0.0000 0.5000 0.0000  2 Te 2.04
5 O 0.5000 0.0000 0.0000  2 Te 2.04

## Properties
Formation energy (no corrections) = -622 kJ/mol of formula units
Electronic total energy = -26.9 eV for the cell shown

=====

4.
Material: K2Te2O5
Method: DFT, PBEsol
State: optimized geometry

abc: 5.4618 7.7162 15.0838
angles: 90.00 90.00 93.58
Last column: nearest neighbours and their distance in Å.
Sites, in units of the cell vectors:
1 O 0.2300 0.0653 0.6455  1 Te 1.87
2 O 0.0930 0.8631 0.9390  1 Te 1.88
3 O 0.0003 0.5486 0.2431  2 Te 1.95-2.11
4 Te 0.7477 0.1112 0.4381  3 O 1.87-1.94
5 O 0.5003 0.5486 0.2569  2 Te 1.95-2.11
6 O 0.2702 0.4394 0.9113  1 Te 1.86
7 Te 0.2477 0.1112 0.0619  3 O 1.87-1.94
8 K 0.2334 0.6188 0.0685  7 O 2.70-2.96
9 Te 0.2987 0.5931 0.8167  2 O 1.86-1.95
10 K 0.2666 0.3812 0.5685  7 O 2.70-2.96
11 O 0.2700 0.9347 0.1455  1 Te 1.87
12 O 0.9070 0.1369 0.0610  1 Te 1.88
13 O 0.7298 0.5606 0.0887  1 Te 1.86
14 K 0.7603 0.8713 0.1814  5 O 2.66-2.85
15 Te 0.2013 0.4069 0.3167  2 O 1.86-1.95
16 O 0.9997 0.4514 0.7569  2 Te 1.95-2.11
17 K 0.7666 0.3812 0.9315  7 O 2.70-2.96
18 O 0.5930 0.8631 0.5610  1 Te 1.88
19 O 0.4997 0.4514 0.7431  2 Te 1.95-2.11
20 K 0.2397 0.1287 0.8186  5 O 2.66-2.85
21 K 0.7397 0.1287 0.6814  5 O 2.66-2.85
22 Te 0.2523 0.8888 0.5619  3 O 1.87-1.94
23 O 0.7300 0.0653 0.8545  1 Te 1.87
24 O 0.1669 0.6947 0.6400  1 Te 1.94
25 O 0.4070 0.1369 0.4390  1 Te 1.88
26 K 0.7334 0.6188 0.4315  7 O 2.70-2.96
27 K 0.2603 0.8713 0.3186  5 O 2.66-2.85
28 O 0.8331 0.3053 0.3600  1 Te 1.94
29 Te 0.7523 0.8888 0.9381  3 O 1.87-1.94
30 O 0.7702 0.4394 0.5887  1 Te 1.86
31 O 0.3331 0.3053 0.1400  1 Te 1.94
32 O 0.7700 0.9347 0.3545  1 Te 1.87
33 O 0.2298 0.5606 0.4113  1 Te 1.86
34 Te 0.7013 0.4069 0.1833  2 O 1.86-1.95
35 O 0.6669 0.6947 0.8600  1 Te 1.94
36 Te 0.7987 0.5931 0.6833  2 O 1.86-1.95

## Properties
Formation energy (no corrections) = -1211 kJ/mol of formula units
Electronic total energy = -192.5 eV for the cell shown

=====

5.
Material: KYTe2O6
Method: DFT, PBEsol
State: optimized geometry

abc: 6.0343 8.4220 13.3543
angles: 90.00 90.00 90.00
Last column: nearest neighbours and their distance in Å.
Sites, in units of the cell vectors:
1 O 0.2500 0.5459 0.8320  1 Te 1.90
2 K 0.7500 0.5084 0.8676  8 O 2.77-3.07
3 O 0.5103 0.8600 0.8017  1 Te 1.88
4 O 0.9897 0.6400 0.3017  1 Te 1.88
5 O 0.5108 0.6883 0.0150  1 Te 1.88
6 O 0.4892 0.3117 0.9850  1 Te 1.88
7 Te 0.2500 0.5022 0.6928  3 O 1.88-1.90
8 O 0.2500 0.0242 0.9821  1 Te 1.89
9 O 0.4892 0.1883 0.4850  1 Te 1.88
10 O 0.5108 0.8117 0.5150  1 Te 1.88
11 Y 0.2500 0.7823 0.9125  6 O 2.23-2.26
12 Te 0.2500 0.2775 0.4152  3 O 1.88-1.89
13 O 0.4897 0.1400 0.1983  1 Te 1.88
14 Y 0.7500 0.2177 0.0875  6 O 2.23-2.26
15 O 0.7500 0.4541 0.1680  1 Te 1.90
16 O 0.9897 0.8600 0.8017  1 Te 1.88
17 O 0.0103 0.1400 0.1983  1 Te 1.88
18 K 0.7500 0.9916 0.3676  8 O 2.77-3.07
19 Te 0.2500 0.9978 0.1928  3 O 1.88-1.90
20 Y 0.7500 0.2823 0.5875  6 O 2.23-2.26
21 O 0.9892 0.6883 0.0150  1 Te 1.88
22 Te 0.7500 0.0022 0.8072  3 O 1.88-1.90
23 O 0.7500 0.0459 0.6680  1 Te 1.90
24 K 0.2500 0.0084 0.6324  8 O 2.77-3.07
25 O 0.2500 0.9541 0.3320  1 Te 1.90
26 Te 0.7500 0.7775 0.0848  3 O 1.88-1.89
27 O 0.0108 0.3117 0.9850  1 Te 1.88
28 Te 0.7500 0.4978 0.3072  3 O 1.88-1.90
29 O 0.2500 0.4758 0.4821  1 Te 1.89
30 O 0.0103 0.3600 0.6983  1 Te 1.88
31 O 0.4897 0.3600 0.6983  1 Te 1.88
32 O 0.7500 0.9758 0.0179  1 Te 1.89
33 O 0.5103 0.6400 0.3017  1 Te 1.88
34 Te 0.2500 0.2225 0.9152  3 O 1.88-1.89
35 Y 0.2500 0.7177 0.4125  6 O 2.23-2.26
36 K 0.2500 0.4916 0.1324  8 O 2.77-3.07
37 O 0.7500 0.5242 0.5179  1 Te 1.89
38 O 0.9892 0.8117 0.5150  1 Te 1.88
39 Te 0.7500 0.7225 0.5848  3 O 1.88-1.89
40 O 0.0108 0.1883 0.4850  1 Te 1.88

## Properties
Formation energy (no corrections) = -1830 kJ/mol of formula units
Electronic total energy = -261.9 eV for the cell shown

=====

6.
Material: K2ThO3
Method: DFT, PBEsol
State: optimized geometry

abc: 6.3729 6.3843 12.6527
angles: 85.04 80.02 60.06
Last column: nearest neighbours and their distance in Å.
Sites, in units of the cell vectors:
1 O 0.6195 0.4442 0.6516  2 Th 2.33
2 K 0.6576 0.1572 0.5004  4 O 2.66-2.90
3 O 0.0638 0.5558 0.1516  2 Th 2.33
4 O 0.4490 0.7877 0.1509  2 Th 2.34
5 Th 0.0810 0.8380 0.2500  6 O 2.33-2.34
6 O 0.3805 0.5558 0.3484  2 Th 2.33
7 O 0.2367 0.2123 0.6509  2 Th 2.34
8 K 0.3424 0.8428 0.4996  4 O 2.66-2.90
9 O 0.0037 0.8292 0.6513  2 Th 2.33
10 O 0.5510 0.2123 0.8491  2 Th 2.34
11 K 0.8148 0.8428 0.0004  4 O 2.66-2.90
12 O 0.1671 0.8292 0.8487  2 Th 2.33
13 K 0.1852 0.1572 0.9996  4 O 2.66-2.90
14 Th 0.9190 0.1620 0.7500  6 O 2.33-2.34
15 O 0.9963 0.1708 0.3487  2 Th 2.33
16 Th 0.7484 0.5033 0.2500  6 O 2.33-2.34
17 K 0.5000 0.5000 0.0000  2 O 2.63
18 Th 0.2516 0.4967 0.7500  6 O 2.33-2.34
19 K 0.5858 0.8284 0.7500  6 O 2.74
20 K 0.4142 0.1716 0.2500  6 O 2.74
21 O 0.8329 0.1708 0.1513  2 Th 2.33
22 O 0.7633 0.7877 0.3491  2 Th 2.34
23 O 0.9362 0.4442 0.8484  2 Th 2.33
24 K 0.0000 0.5000 0.5000  2 O 2.63

## Properties
Formation energy (no corrections) = -1512 kJ/mol of formula units
Electronic total energy = -167.2 eV for the cell shown

=====

7.
Material: K3Ti8O17
Method: DFT, PBEsol
State: optimized geometry

abc: 3.8122 8.0137 12.0234
angles: 94.95 90.00 103.76
Last column: nearest neighbours and their distance in Å.
Sites, in units of the cell vectors:
1 O 0.8928 0.7856 0.5352  2 Ti 1.87-1.88
2 Ti 0.8887 0.7774 0.9289  5 O 1.86-2.05
3 Ti 0.1122 0.2244 0.0699  4 O 1.87-1.95
4 O 0.2274 0.4548 0.1849  4 Ti 1.97-2.17
5 Ti 0.8005 0.6010 0.4230  4 O 1.81-1.96
6 O 0.0001 0.0002 0.0001  2 Ti 1.86-1.87
7 Ti 0.8488 0.6977 0.6752  2 O 1.76-1.87
8 Ti 0.2443 0.4885 0.8303  4 O 1.78-1.97
9 K 0.5573 0.1145 0.8231  6 O 2.68-2.88
10 O 0.1725 0.3450 0.9375  2 Ti 1.78-1.92
11 O 0.9381 0.8763 0.7763  1 Ti 1.76
12 O 0.6349 0.2698 0.0900  3 Ti 1.95-2.04
13 O 0.1068 0.2137 0.4643  2 Ti 1.87-1.89
14 O 0.1506 0.3012 0.7101  2 Ti 1.80-1.96
15 O 0.3648 0.7297 0.9125  3 Ti 1.95-2.04
16 O 0.7256 0.4512 0.5676  3 Ti 1.96-2.18
17 O 0.2741 0.5482 0.4333  2 Ti 1.96
18 K 0.4424 0.8848 0.1642  8 O 2.70-2.94
19 Ti 0.1513 0.3027 0.3234  2 O 1.76-1.89
20 K 0.4914 0.9828 0.4650  4 O 2.62-2.63
21 O 0.3152 0.6304 0.6754  3 Ti 1.98-2.09
22 O 0.7725 0.5451 0.8159  4 Ti 1.97-2.16
23 O 0.8275 0.6550 0.0630  2 Ti 1.77-1.94
24 O 0.0601 0.1201 0.2260  1 Ti 1.76
25 O 0.8500 0.7000 0.2924  2 Ti 1.81-1.98
26 Ti 0.7563 0.5126 0.1702  4 O 1.77-1.98
27 Ti 0.1969 0.3938 0.5782  4 O 1.80-1.96
28 O 0.6839 0.3678 0.3252  3 Ti 1.97-2.07

## Properties
Formation energy (no corrections) = -7869 kJ/mol of formula units
Electronic total energy = -240.8 eV for the cell shown

=====

8.
Material: KTiO3
Method: DFT, PBEsol
State: optimized geometry

abc: 3.6418 3.6418 5.5933
angles: 90.00 90.00 90.00
Last column: nearest neighbours and their distance in Å.
Sites, in units of the cell vectors:
1 O 0.0000 0.0000 0.1857  1 Ti 1.72
2 O 0.5000 0.0000 0.6104  2 Ti 1.94
3 Ti 0.0000 0.0000 0.4930  1 O 1.72
4 O 0.0000 0.5000 0.6104  2 Ti 1.94
5 K 0.5000 0.5000 0.9980  8 O 2.78-2.83

## Properties
Formation energy (no corrections) = -1077 kJ/mol of formula units
Electronic total energy = -36.4 eV for the cell shown